The following is a DFT calculation (PBE-GGA) of PmSm6Dy2Tm after structural relaxation.

The structure belongs to space group C2/c (No. 15); the cell edges are 9.207, 15.220 and 9.599 Å and the angles 90.00°, 97.00° and 90.00°. The asymmetric unit holds Pm at (0.000, 0.026, 0.250), Sm at (0.061, 0.182, 0.945), Sm at (0.099, 0.391, 0.118), Sm at (0.212, 0.223, 0.314), Dy at (0.247, 0.449, 0.454) and Tm at (0.000, 0.411, 0.750).



The following is a DFT calculation (PBE-GGA) of PmSm2DyTm after structural relaxation.

The structure belongs to space group Cmcm (No. 63); the cell edges are 8.428, 11.547 and 7.236 Å and the angles 90.00°, 90.00° and 90.00°. The asymmetric unit holds Pm at (0.000, 0.226, 0.250), Sm at (0.193, 0.000, 0.000), Dy at (0.000, 0.231, 0.750) and Tm at (0.000, 0.494, 0.250).



The following is a DFT calculation (PBE-GGA) of PmSm2Dy4Tm after structural relaxation.

The structure belongs to space group C2/c (No. 15); the cell edges are 13.618, 13.269 and 6.809 Å and the angles 90.00°, 119.99° and 90.00°. The asymmetric unit holds Pm at (0.250, 0.250, 0.000), Sm at (0.000, 0.000, 0.000), Sm at (0.250, 0.250, 0.500), Dy at (0.000, 0.254, 0.000), Dy at (0.246, 0.500, 0.494) and Tm at (0.000, 0.500, 0.000).



Number 1: size of the total moment 0.00 μB/atom, formation enthalpy at 0 K 0.117 eV per atom. Number 2: size of the total moment 0.00 μB/atom, formation enthalpy at 0 K 0.388 eV per atom. Number 3: size of the total moment 0.36 μB/atom, formation enthalpy at 0 K 0.424 eV per atom.